The following is a DFT calculation (GGA-PBEsol) of CsDyZnTe3 after structural relaxation.

Cell: 4.336 8.663 11.484 Å, 90.00 90.00 104.49°
Positions (direct):
1 Cs 0.747 0.494 0.250
2 Cs 0.253 0.506 0.750
3 Te 0.061 0.122 0.250
4 Te 0.622 0.244 0.557
5 Te 0.939 0.878 0.750
6 Te 0.378 0.756 0.057
7 Te 0.622 0.244 0.943
8 Te 0.378 0.756 0.443
9 Zn 0.537 0.074 0.750
10 Zn 0.463 0.926 0.250
11 Dy 0.000 0.000 0.000
12 Dy 0.000 0.000 0.500

total magnetization: 0.000 μB per atom
VASP energy: -4.0859 eV/atom
raw formation energy: -1.072 eV per atom